Computed, not measured: MgH2Rh after structural relaxation at the GGA-PBEsol level of DFT.

Properties
As for the theoretical density: 5.6 Mg/m³. The density of states at the Fermi level is 0.76 states/eV/f.u. The raw total energy is -4.397 eV/atom.

Lattice parameters (Å, degrees): 4.073 4.073 9.304 90.00 90.00 90.00
Space group I-42d (No. 122)
Unique sites:
1 Mg 0.000 0.000 0.000 [4 per cell]
2 H 0.177 0.250 0.625 [8 per cell]
3 Rh 0.000 0.000 0.500 [4 per cell]